Record 1
The following is a DFT calculation (PBE) of a geometry-optimized HoCdGa2Au5 structure.

```
data_HoCdGa2Au5
_chemical_formula_sum 'Ho1 Cd1 Ga2 Au5'
_cell_length_a 4.407
_cell_length_b 4.407
_cell_length_c 9.009
_cell_angle_alpha 90.00
_cell_angle_beta 90.00
_cell_angle_gamma 90.00
_symmetry_space_group_name_H-M 'P 4/m m m'
_symmetry_Int_Tables_number 123
_symmetry_space_group_name_Hall '-P 4 2'
loop_
_atom_site_label
_atom_site_fract_x
_atom_site_fract_y
_atom_site_fract_z
Ho1 0.000 0.000 0.000
Cd1 0.000 0.000 0.500
Ga1 0.500 0.500 0.133
Au1 0.000 0.500 0.277
Au2 0.500 0.500 0.500
```

Calculated values
Total moment = 0.00 μB/f.u.
Formation enthalpy at 0 K = -0.372 eV per atom

Record 2
The following is a DFT calculation (PBE) of a geometry-optimized Ho2CdGaAu4 structure.

```
data_Ho2CdGaAu4
_chemical_formula_sum 'Ho6 Cd3 Ga3 Au12'
_cell_length_a 4.9084
_cell_length_b 4.9084
_cell_length_c 23.6324
_cell_angle_alpha 90.00
_cell_angle_beta 90.00
_cell_angle_gamma 120.00
_symmetry_space_group_name_H-M 'R -3 m'
_symmetry_Int_Tables_number 166
_symmetry_space_group_name_Hall '-R 3 2"'
loop_
_atom_site_label
_atom_site_fract_x
_atom_site_fract_y
_atom_site_fract_z
Ho1 0.0000 0.0000 0.2494
Cd1 0.0000 0.0000 0.0000
Ga1 0.0000 0.0000 0.5000
Au1 0.0000 0.0000 0.1253
Au2 0.0000 0.0000 0.3785
```

Calculated values
Total moment = 0.00 μB/f.u.
Formation enthalpy at 0 K = -0.667 eV per atom

Record 3
The following is a DFT calculation (PBE) of a geometry-optimized Cd2GaAuI structure.

```
data_Cd2GaAuI
_chemical_formula_sum 'Cd2 Ga1 Au1 I1'
_cell_length_a 5.474
_cell_length_b 5.474
_cell_length_c 4.949
_cell_angle_alpha 90.00
_cell_angle_beta 90.00
_cell_angle_gamma 90.00
_symmetry_space_group_name_H-M 'P 4/m m m'
_symmetry_Int_Tables_number 123
_symmetry_space_group_name_Hall '-P 4 2'
loop_
_atom_site_label
_atom_site_fract_x
_atom_site_fract_y
_atom_site_fract_z
Cd1 0.000 0.500 0.000
Ga1 0.000 0.000 0.500
Au1 0.000 0.000 0.000
I1 0.500 0.500 0.500
```

Calculated values
Total moment = 0.00 μB/f.u.
Energy relative to the elements, uncorrected = -11.37 kJ/mol of atoms

Record 4
The following is a DFT calculation (PBE) of a geometry-optimized CdGaAuI2 structure.

```
data_CdGaAuI2
_chemical_formula_sum 'Cd1 Ga1 Au1 I2'
_cell_length_a 5.892
_cell_length_b 5.892
_cell_length_c 5.301
_cell_angle_alpha 90.00
_cell_angle_beta 90.00
_cell_angle_gamma 90.00
_symmetry_space_group_name_H-M 'P 4/m m m'
_symmetry_Int_Tables_number 123
_symmetry_space_group_name_Hall '-P 4 2'
loop_
_atom_site_label
_atom_site_fract_x
_atom_site_fract_y
_atom_site_fract_z
Cd1 0.000 0.000 0.000
Ga1 0.000 0.000 0.500
Au1 0.500 0.500 0.500
I1 0.000 0.500 0.000
```

Calculated values
Total moment = 0.00 μB/f.u.
Energy relative to the elements, uncorrected = 41.03 kJ/mol of atoms

Record 5
The following is a DFT calculation (PBE) of a geometry-optimized KCdGaAu3 structure.

```
data_KCdGaAu3
_chemical_formula_sum 'K4 Cd4 Ga4 Au12'
_cell_length_a 7.457
_cell_length_b 13.244
_cell_length_c 6.675
_cell_angle_alpha 90.00
_cell_angle_beta 90.00
_cell_angle_gamma 90.00
_symmetry_space_group_name_H-M 'C m c m'
_symmetry_Int_Tables_number 63
_symmetry_space_group_name_Hall '-C 2c 2'
loop_
_atom_site_label
_atom_site_fract_x
_atom_site_fract_y
_atom_site_fract_z
K1 0.000 0.222 0.250
Cd1 0.000 0.494 0.750
Ga1 0.000 0.096 0.750
Au1 0.000 0.285 0.750
Au2 0.200 0.000 0.000
```

Calculated values
Total moment = 0.00 μB/f.u.
Formation enthalpy at 0 K = -0.199 eV per atom

Record 6
The following is a DFT calculation (PBE) of a geometry-optimized KCd2GaAu structure.

```
data_KCd2GaAu
_chemical_formula_sum 'K1 Cd2 Ga1 Au1'
_cell_length_a 5.387
_cell_length_b 5.387
_cell_length_c 5.112
_cell_angle_alpha 90.00
_cell_angle_beta 90.00
_cell_angle_gamma 90.00
_symmetry_space_group_name_H-M 'P 4/m m m'
_symmetry_Int_Tables_number 123
_symmetry_space_group_name_Hall '-P 4 2'
loop_
_atom_site_label
_atom_site_fract_x
_atom_site_fract_y
_atom_site_fract_z
K1 0.000 0.000 0.000
Cd1 0.000 0.500 0.500
Ga1 0.500 0.500 0.000
Au1 0.500 0.500 0.500
```

Calculated values
Total moment = 0.00 μB/f.u.
Energy above the most stable polymorph in this dataset = 0.103 eV per atom
Formation enthalpy at 0 K = -0.062 eV per atom

Record 7
The following is a DFT calculation (PBE) of a geometry-optimized KCdGa2Au2 structure.

```
data_KCdGa2Au2
_chemical_formula_sum 'K1 Cd1 Ga2 Au2'
_cell_length_a 4.5407
_cell_length_b 4.5407
_cell_length_c 8.1565
_cell_angle_alpha 90.00
_cell_angle_beta 90.00
_cell_angle_gamma 120.00
_symmetry_space_group_name_H-M 'P -3 m 1'
_symmetry_Int_Tables_number 164
_symmetry_space_group_name_Hall '-P 3 2"'
loop_
_atom_site_label
_atom_site_fract_x
_atom_site_fract_y
_atom_site_fract_z
K1 0.0000 0.0000 0.0000
Cd1 0.0000 0.0000 0.5000
Ga1 0.3333 0.6667 0.7022
Au1 0.3333 0.6667 0.3340
```

Calculated values
Total moment = 0.00 μB/f.u.
Formation enthalpy at 0 K = -0.271 eV per atom

Record 8
The following is a DFT calculation (PBE) of a geometry-optimized KCd2GaAu structure.

```
data_KCd2GaAu
_chemical_formula_sum 'K2 Cd4 Ga2 Au2'
_cell_length_a 4.573
_cell_length_b 4.911
_cell_length_c 11.898
_cell_angle_alpha 90.00
_cell_angle_beta 90.00
_cell_angle_gamma 90.00
_symmetry_space_group_name_H-M 'I m m 2'
_symmetry_Int_Tables_number 44
_symmetry_space_group_name_Hall 'I 2 -2'
loop_
_atom_site_label
_atom_site_fract_x
_atom_site_fract_y
_atom_site_fract_z
K1 0.000 0.000 0.000
Cd1 0.000 0.000 0.610
Cd2 0.000 0.500 0.261
Ga1 0.000 0.500 0.759
Au1 0.000 0.000 0.375
```

Calculated values
Total moment = 0.00 μB/f.u.
Energy above the most stable polymorph in this dataset = 0.000 eV per atom
Formation enthalpy at 0 K = -0.165 eV per atom

Record 9
The following is a DFT calculation (PBE) of a geometry-optimized KCd2GaAu structure.

```
data_KCd2GaAu
_chemical_formula_sum 'K1 Cd2 Ga1 Au1'
_cell_length_a 5.428
_cell_length_b 5.428
_cell_length_c 5.039
_cell_angle_alpha 90.00
_cell_angle_beta 90.00
_cell_angle_gamma 90.00
_symmetry_space_group_name_H-M 'P 4/m m m'
_symmetry_Int_Tables_number 123
_symmetry_space_group_name_Hall '-P 4 2'
loop_
_atom_site_label
_atom_site_fract_x
_atom_site_fract_y
_atom_site_fract_z
K1 0.000 0.000 0.000
Cd1 0.000 0.500 0.500
Ga1 0.500 0.500 0.500
Au1 0.500 0.500 0.000
```

Calculated values
Total moment = 0.00 μB/f.u.
Energy above the most stable polymorph in this dataset = 0.126 eV per atom
Formation enthalpy at 0 K = -0.038 eV per atom

Record 10
The following is a DFT calculation (PBE) of a geometry-optimized KCdGa2Au4 structure.

```
data_KCdGa2Au4
_chemical_formula_sum 'K3 Cd3 Ga6 Au12'
_cell_length_a 4.4828
_cell_length_b 4.4828
_cell_length_c 31.9449
_cell_angle_alpha 90.00
_cell_angle_beta 90.00
_cell_angle_gamma 120.00
_symmetry_space_group_name_H-M 'R -3 m'
_symmetry_Int_Tables_number 166
_symmetry_space_group_name_Hall '-R 3 2"'
loop_
_atom_site_label
_atom_site_fract_x
_atom_site_fract_y
_atom_site_fract_z
K1 0.0000 0.0000 0.0000
Cd1 0.0000 0.0000 0.5000
Ga1 0.0000 0.0000 0.2495
Au1 0.0000 0.0000 0.1224
Au2 0.0000 0.0000 0.4091
```

Calculated values
Total moment = 0.00 μB/f.u.
Formation enthalpy at 0 K = -0.194 eV per atom

Record 11
The following is a DFT calculation (PBE) of a geometry-optimized KCdGa2Au structure.

```
data_KCdGa2Au
_chemical_formula_sum 'K2 Cd2 Ga4 Au2'
_cell_length_a 4.691
_cell_length_b 4.722
_cell_length_c 11.108
_cell_angle_alpha 90.00
_cell_angle_beta 90.00
_cell_angle_gamma 90.00
_symmetry_space_group_name_H-M 'I m m 2'
_symmetry_Int_Tables_number 44
_symmetry_space_group_name_Hall 'I 2 -2'
loop_
_atom_site_label
_atom_site_fract_x
_atom_site_fract_y
_atom_site_fract_z
K1 0.000 0.000 0.000
Cd1 0.000 0.500 0.755
Ga1 0.000 0.000 0.381
Ga2 0.000 0.500 0.246
Au1 0.000 0.000 0.614
```

Calculated values
Total moment = 0.00 μB/f.u.
Formation enthalpy at 0 K = -0.204 eV per atom

Record 12
The following is a DFT calculation (PBE) of a geometry-optimized K2Cd12GaAu3 structure.

```
data_K2Cd12GaAu3
_chemical_formula_sum 'K6 Cd36 Ga3 Au9'
_cell_length_a 9.5871
_cell_length_b 9.5871
_cell_length_c 21.9958
_cell_angle_alpha 90.00
_cell_angle_beta 90.00
_cell_angle_gamma 120.00
_symmetry_space_group_name_H-M 'R -3 m'
_symmetry_Int_Tables_number 166
_symmetry_space_group_name_Hall '-R 3 2"'
loop_
_atom_site_label
_atom_site_fract_x
_atom_site_fract_y
_atom_site_fract_z
K1 0.0000 0.0000 0.1053
Cd1 0.0199 0.5099 0.1281
Cd2 0.0992 0.5496 0.3919
Ga1 0.0000 0.0000 0.5000
Au1 0.0000 0.5000 0.0000
```

Calculated values
Total moment = 0.00 μB/f.u.
Formation enthalpy at 0 K = 0.063 eV per atom

Number 6 is which compound? KCd2GaAu